No. 1
First-principles (PBE) data for a relaxed structure of AlInSb2I, as listed in the Alexandria database.

Cell: 5.6170 5.6170 6.1438 Å, 90.00 90.00 90.00°
Site moments in Bohr magnetons follow the coordinates.
Element x y z (fractional)
I  0.0000  0.0000  0.5000  0.06
Sb  0.0000  0.5000  0.0000  0.13
Sb  0.5000  0.0000  0.0000  0.13
Al  0.5000  0.5000  0.5000  0.00
In  0.0000  0.0000  0.0000  -0.01

Summary:
Size of the total moment, μB/atom: 0.146
V, Å³/atom: 38.77
Raw formation energy, meV per atom: 661
E, eV/atom: -2.5938

***

No. 2
First-principles (PBE) data for a relaxed structure of ZrAsRh4, as listed in the Alexandria database.

Cell: 5.1849 5.1849 5.1849 Å, 60.00 60.00 60.00°
Element x y z (fractional)
Zr  0.2500  0.2500  0.2500
As  0.0000  0.0000  0.0000
Rh  0.6253  0.6253  0.1242
Rh  0.6253  0.1242  0.6253
Rh  0.6253  0.6253  0.6253
Rh  0.1242  0.6253  0.6253

Summary:
Size of the total moment, μB/atom: 0.000
DFT formation energy, eV/f.u.: -1.26
V, Å³/atom: 16.43
E, eV/atom: -7.3100

***

No. 3
First-principles (PBE) data for a relaxed structure of CaY2TcBr, as listed in the Alexandria database.

Cell: 5.2280 5.9862 5.2280 Å, 90.00 90.00 90.00°
Element x y z (fractional)
Y  0.0000  0.0000  0.5000
Y  0.5000  0.0000  0.0000
Ca  0.0000  0.5000  0.0000
Tc  0.0000  0.0000  0.0000
Br  0.5000  0.5000  0.5000

Summary:
Size of the total moment, μB/atom: 0.000
V, Å³/atom: 32.72
Raw formation energy, meV per atom: -6
E, eV/atom: -5.3992

***

No. 4
First-principles (PBE) data for a relaxed structure of RbSi2GeRh, as listed in the Alexandria database.

Cell: 5.4311 5.4311 4.7971 Å, 90.00 90.00 90.00°
Element x y z (fractional)
Ge  0.5000  0.5000  0.5000
Rh  0.0000  0.0000  0.5000
Si  0.0000  0.5000  0.0000
Si  0.5000  0.0000  0.0000
Rb  0.0000  0.0000  0.0000

Summary:
Size of the total moment, μB/atom: 0.000
V, Å³/atom: 28.30
Raw formation energy, meV per atom: 2255
E, eV/atom: -2.5016

***

No. 5
First-principles (PBE) data for a relaxed structure of TcMo3, as listed in the Alexandria database.

Cell: 2.7555 2.7555 8.2978 Å, 90.00 90.00 90.00°
Element x y z (fractional)
Mo  0.0000  0.0000  0.0158
Mo  0.0000  0.0000  0.4842
Mo  0.5000  0.5000  0.7500
Tc  0.5000  0.5000  0.2500

Summary:
Size of the total moment, μB/atom: 0.000
DFT formation energy, eV/f.u.: 0.97
V, Å³/atom: 15.75
E, eV/atom: -10.4726

***

No. 6
First-principles (PBE) data for a relaxed structure of CePmRu, as listed in the Alexandria database.

Cell: 4.8529 4.8529 4.8529 Å, 60.00 60.00 60.00°
Site moments in Bohr magnetons follow the coordinates.
Element x y z (fractional)
Ru  0.2500  0.2500  0.2500  -0.08
Ce  0.5000  0.5000  0.5000  0.58
Pm  0.0000  0.0000  0.0000  0.04

Summary:
Size of the total moment, μB/atom: 0.219
DFT formation energy, eV/f.u.: -0.38
V, Å³/atom: 26.94
E, eV/atom: -6.7797

***

Which of these has the highest size of the total moment?
CePmRu

***

Among the records above, which one has the highest V?
AlInSb2I

***

V of number 5 (TcMo3)?
15.75 Å³/atom

***

Please write out number 1 again, unchanged.
First-principles (PBE) data for a relaxed structure of AlInSb2I, as listed in the Alexandria database.

Cell: 5.6170 5.6170 6.1438 Å, 90.00 90.00 90.00°
Site moments in Bohr magnetons follow the coordinates.
Element x y z (fractional)
I  0.0000  0.0000  0.5000  0.06
Sb  0.0000  0.5000  0.0000  0.13
Sb  0.5000  0.0000  0.0000  0.13
Al  0.5000  0.5000  0.5000  0.00
In  0.0000  0.0000  0.0000  -0.01

Summary:
Size of the total moment, μB/atom: 0.146
V, Å³/atom: 38.77
Raw formation energy, meV per atom: 661
E, eV/atom: -2.5938